(1)
Below is a relaxed CdAg2Pd crystal, with properties calculated at the PBE level.

Space-group type: Ama2, No. 40

a b c (Å): 4.8099 5.8271 5.8271
angles (deg): 119.55 90.00 90.00
Last column: nearest neighbours and their distance in Å.
Atoms (fractional coordinates):
1 Cd 0.2500 0.0933 0.9067  6 Ag 2.84-2.98, 4 Pd 2.88-2.93, 2 Cd 3.05
2 Cd 0.7500 0.9067 0.0933  6 Ag 2.84-2.98, 4 Pd 2.88-2.93, 2 Cd 3.05
3 Ag 0.2500 0.0937 0.4191  4 Cd 2.84-2.98, 4 Ag 2.91-2.92, 4 Pd 2.92-2.99
4 Ag 0.2500 0.5937 0.4178  2 Cd 2.90-2.97, 6 Ag 2.91-2.99, 4 Pd 2.91-2.92
5 Ag 0.7500 0.4178 0.5937  2 Cd 2.90-2.97, 6 Ag 2.91-2.99, 4 Pd 2.91-2.92
6 Ag 0.7500 0.4191 0.0937  4 Cd 2.84-2.98, 4 Ag 2.91-2.92, 4 Pd 2.92-2.99
7 Pd 0.2500 0.5963 0.9194  4 Cd 2.88-2.93, 8 Ag 2.91-2.99
8 Pd 0.7500 0.9194 0.5963  4 Cd 2.88-2.93, 8 Ag 2.91-2.99



(2)
Below is a relaxed KOsRh2 crystal, with properties calculated at the PBE level.

Distance to the lowest polymorph of the same formula in meV per atom: 632
Space-group type: I-42d, No. 122

a b c (Å): 6.1323 6.1323 6.1323
angles (deg): 104.67 104.67 119.57
Last column: nearest neighbours and their distance in Å.
Atoms (fractional coordinates):
1 K 0.0000 0.0000 0.0000  2 Os 3.09, 8 Rh 3.18-3.25
2 K 0.7500 0.2500 0.5000  2 Os 3.09, 8 Rh 3.18-3.25
3 Os 0.2500 0.7500 0.5000  4 Rh 2.41
4 Os 0.5000 0.5000 0.0000  4 Rh 2.41
5 Rh 0.2017 0.6250 0.0767  2 Os 2.41
6 Rh 0.3750 0.4517 0.5767  2 Os 2.41
7 Rh 0.5483 0.1250 0.9233  2 Os 2.41
8 Rh 0.8750 0.7983 0.4233  2 Os 2.41



(3)
Below is a relaxed CdOs2Ru crystal, with properties calculated at the PBE level.

Space-group type: Cmm2, No. 35

a b c (Å): 2.7468 2.7468 9.5552
angles (deg): 90.00 90.00 118.55
Last column: nearest neighbours and their distance in Å.
Atoms (fractional coordinates):
1 Cd 0.0000 0.0000 0.0000  6 Cd 2.75-2.81, 2 Ru 2.87, 2 Os 2.92
2 Os 0.0000 0.0000 0.5041  2 Ru 2.64, 8 Os 2.65-2.81
3 Os 0.5000 0.5000 0.2685  8 Os 2.65-2.81, 2 Cd 2.92
4 Ru 0.5000 0.5000 0.7383  2 Os 2.64, 6 Ru 2.75-2.81, 2 Cd 2.87



(4)
Below is a relaxed Th2Cd2Cu15 crystal, with properties calculated at the PBE level.

Space-group type: R-3m, No. 166

a b c (Å): 6.6564 6.6564 6.6564
angles (deg): 82.51 82.51 82.51
Last column: nearest neighbours and their distance in Å.
Atoms (fractional coordinates):
1 Th 0.1461 0.1461 0.1461  12 Cu 3.02-3.24, 1 Cd 3.23
2 Th 0.8539 0.8539 0.8539  12 Cu 3.02-3.24, 1 Cd 3.23
3 Cd 0.3953 0.3953 0.3953  6 Cu 2.66-2.76, 1 Cd 2.71
4 Cd 0.6047 0.6047 0.6047  6 Cu 2.66-2.76, 1 Cd 2.71
5 Cu 0.0000 0.5000 0.5000  8 Cu 2.55-2.56, 2 Cd 2.66
6 Cu 0.1500 0.1500 0.6587  8 Cu 2.52-2.70, 1 Cd 2.76
7 Cu 0.1500 0.6587 0.1500  8 Cu 2.52-2.70, 1 Cd 2.76
8 Cu 0.1962 0.5000 0.8038  8 Cu 2.55-2.70
9 Cu 0.1962 0.8038 0.5000  8 Cu 2.55-2.70
10 Cu 0.3413 0.8500 0.8500  8 Cu 2.52-2.70, 1 Cd 2.76
11 Cu 0.5000 0.0000 0.5000  8 Cu 2.55-2.56, 2 Cd 2.66
12 Cu 0.5000 0.1962 0.8038  8 Cu 2.55-2.70
13 Cu 0.5000 0.5000 0.0000  8 Cu 2.55-2.56, 2 Cd 2.66
14 Cu 0.5000 0.8038 0.1962  8 Cu 2.55-2.70
15 Cu 0.6587 0.1500 0.1500  8 Cu 2.52-2.70, 1 Cd 2.76
16 Cu 0.8038 0.1962 0.5000  8 Cu 2.55-2.70
17 Cu 0.8038 0.5000 0.1962  8 Cu 2.55-2.70
18 Cu 0.8500 0.3413 0.8500  8 Cu 2.52-2.70, 1 Cd 2.76
19 Cu 0.8500 0.8500 0.3413  8 Cu 2.52-2.70, 1 Cd 2.76



(5)
Below is a relaxed HoZrSn crystal, with properties calculated at the PBE level.

Space-group type: P-6m2, No. 187

a b c (Å): 5.1457 5.1457 3.1452
angles (deg): 90.00 90.00 120.00
Last column: nearest neighbours and their distance in Å.
Atoms (fractional coordinates):
1 Ho 0.0000 0.0000 0.0000  3 Zr 2.97, 2 Ho 3.15
2 Zr 0.3333 0.6667 0.0000  3 Ho 2.97, 2 Zr 3.15
3 Sn 0.6667 0.3333 0.5000  2 Sn 3.15, 6 Ho 3.36, 6 Zr 3.36



Number 1: formation energy -0.13 eV/atom, energy -3.084 eV per atom, V 142.08 Å³ per cell. Number 2: formation energy 1.07 eV/atom, energy -5.686 eV per atom, V 173.32 Å³ per cell. Number 3: formation energy 0.63 eV/atom, energy -7.534 eV per atom, V 63.33 Å³ per cell. Number 4: formation energy -0.07 eV/atom, energy -4.177 eV per atom, V 287.98 Å³ per cell. Number 5: formation energy -0.05 eV/atom, energy -5.763 eV per atom, V 72.12 Å³ per cell.